No. 1
Zr2BePdBr: relaxed, PBE.

Lattice parameters (Å, degrees): 4.849 4.236 4.849 90.00 90.00 90.00
Element x y z (fractional)
Be  0.000  0.000  0.000
Br  0.000  0.500  0.000
Zr  0.000  0.000  0.500
Zr  0.500  0.000  0.000
Pd  0.500  0.500  0.500

No. 2
Hg2BF: relaxed, PBE.

Properties
Polymorph energy (0 for the lowest one): 0.0 meV per atom

Lattice parameters (Å, degrees): 5.712 5.712 6.555 64.17 64.17 90.00
Element x y z (fractional)
B  0.500  0.500  0.000
B  0.250  0.750  0.500
Hg  0.574  0.125  0.250
Hg  0.176  0.625  0.250
Hg  0.375  0.426  0.750
Hg  0.875  0.824  0.750
F  0.000  0.000  0.000
F  0.750  0.250  0.500

No. 3
BaScSi2: relaxed, PBE.

Properties
Polymorph energy (0 for the lowest one): 489.6 meV per atom

Lattice parameters (Å, degrees): 5.482 5.482 3.274 90.00 90.00 101.85
Site moments in Bohr magnetons follow the coordinates.
Element x y z (fractional)
Ba  0.500  0.000  0.500  0.01
Sc  0.000  0.500  0.500  0.17
Si  0.000  0.000  0.000  0.00
Si  0.500  0.500  0.000  0.00

| no. | energy (hartree per atom) | formation energy without anion corrections (meV/atom) | D(E_F) (states/eV per atom) |
| --- | --- | --- | --- |
| 1 | -0.1846 | 514 | 1.052 |
| 2 | -0.0818 | 63 | 0.041 |
| 3 | -0.1736 | 52 | 0.616 |